(1)
## AlTlTe2I (meta-GGA SCAN)

Data for a crystal of AlTlTe2I relaxed with PBEsol.

The space group is P4/mmm (No. 123) and the conventional cell measures 5.316, 5.316 and 5.634 Å, with angles of 90.00, 90.00 and 90.00 degrees. The distinct sites, in fractional coordinates, are Al at (0.000, 0.000, 0.000), Tl at (0.500, 0.500, 0.500), Te at (0.000, 0.500, 0.000) and I at (0.000, 0.000, 0.500).

(2)
## AlTlTeI2 (meta-GGA SCAN)

Data for a crystal of AlTlTeI2 relaxed with PBEsol.

The space group is P4/mmm (No. 123) and the conventional cell measures 5.937, 5.937 and 5.700 Å, with angles of 90.00, 90.00 and 90.00 degrees. The distinct sites, in fractional coordinates, are Al at (0.000, 0.000, 0.000), Tl at (0.500, 0.500, 0.500), Te at (0.500, 0.500, 0.000) and I at (0.000, 0.500, 0.500).

(3)
## TiAlI2 (meta-GGA SCAN)

Data for a crystal of TiAlI2 relaxed with PBEsol.

The space group is Fm-3m (No. 225) and the conventional cell measures 7.083, 7.083 and 7.083 Å, with angles of 90.00, 90.00 and 90.00 degrees. The distinct sites, in fractional coordinates, are Ti at (0.000, 0.000, 0.000), Al at (0.000, 0.000, 0.500) and I at (0.250, 0.250, 0.250).

(4)
## AlTlI3 (meta-GGA SCAN)

Data for a crystal of AlTlI3 relaxed with PBEsol.

The space group is Pm-3m (No. 221) and the conventional cell measures 5.633, 5.633 and 5.633 Å, with angles of 90.00, 90.00 and 90.00 degrees. The distinct sites, in fractional coordinates, are Al at (0.000, 0.000, 0.000), Tl at (0.500, 0.500, 0.500) and I at (0.000, 0.000, 0.500).

(5)
## AlWI2 (meta-GGA SCAN)

Data for a crystal of AlWI2 relaxed with PBEsol.

The space group is Fm-3m (No. 225) and the conventional cell measures 6.885, 6.885 and 6.885 Å, with angles of 90.00, 90.00 and 90.00 degrees. The distinct sites, in fractional coordinates, are Al at (0.000, 0.000, 0.000), W at (0.000, 0.000, 0.500) and I at (0.250, 0.250, 0.250).

(6)
## YAlI2 (meta-GGA SCAN)

Data for a crystal of YAlI2 relaxed with PBEsol.

The space group is Fm-3m (No. 225) and the conventional cell measures 7.557, 7.557 and 7.557 Å, with angles of 90.00, 90.00 and 90.00 degrees. The distinct sites, in fractional coordinates, are Y at (0.000, 0.000, 0.000), Al at (0.000, 0.000, 0.500) and I at (0.250, 0.250, 0.250).

(7)
## YAlI3 (meta-GGA SCAN)

Data for a crystal of YAlI3 relaxed with PBEsol.

The space group is Pm-3m (No. 221) and the conventional cell measures 5.490, 5.490 and 5.490 Å, with angles of 90.00, 90.00 and 90.00 degrees. The distinct sites, in fractional coordinates, are Y at (0.000, 0.000, 0.000), Al at (0.500, 0.500, 0.500) and I at (0.000, 0.500, 0.500).

(8)
## YAl2I2 (meta-GGA SCAN)

Data for a crystal of YAl2I2 relaxed with PBEsol.

The space group is I4/mmm (No. 139) and the conventional cell measures 3.714, 3.714 and 22.362 Å, with angles of 90.00, 90.00 and 90.00 degrees. The distinct sites, in fractional coordinates, are Y at (0.000, 0.000, 0.000), Al at (0.000, 0.500, 0.250) and I at (0.000, 0.000, 0.419).

The calculation puts the offset from the most stable computed form at 0 meV/atom.

Computed values of formation energy without anion corrections (unit: eV per atom) for the preceding records, in sequence: -0.1443, 0.3048, 0.3032, -0.4360, 1.3236, -0.2681, -0.0705, -0.3256.